Computed, not measured: a geometry-optimized Ac4AlN structure at the PBE-GGA level of DFT.

Summary:
D(E_F) (states/eV per atom): 0.86
Mass density (g cm⁻³): 8.3
Electronic total energy (eV per atom): -4.6803
Size of the total moment (μB per atom): 0.000
Uncorrected formation energy (eV per formula unit): 0.42

Lattice parameters (Å, degrees): 5.086 5.086 7.385 90.00 90.00 90.00
Space group P4/mmm (No. 123)
Unique sites:
Ac 0.000 0.500 0.226 x4
Al 0.000 0.000 0.500 x1
N 0.500 0.500 0.000 x1

Computed, not measured: a geometry-optimized Ac12Al3N5 structure at the PBE-GGA level of DFT.

Summary:
D(E_F) (states/eV per atom): 1.01
Mass density (g cm⁻³): 7.6
Electronic total energy (eV per atom): -5.6714
Size of the total moment (μB per atom): 0.000
Uncorrected formation energy (eV per formula unit): -11.27

Lattice parameters (Å, degrees): 17.123 17.123 17.123 90.00 90.00 90.00
Space group Ia-3d (No. 230)
Unique sites:
Ac 0.036 0.051 0.649 x96
Al 0.000 0.250 0.125 x24
N 0.000 0.000 0.000 x16
N 0.000 0.250 0.375 x24

Computed, not measured: a geometry-optimized Ac4Al2N structure at the PBE-GGA level of DFT.

Summary:
D(E_F) (states/eV per atom): 0.87
Mass density (g cm⁻³): 7.1
Electronic total energy (eV per atom): -4.9857
Size of the total moment (μB per atom): 0.000
Uncorrected formation energy (eV per formula unit): -2.66

Lattice parameters (Å, degrees): 5.231 5.231 16.765 90.00 90.00 90.00
Space group I4/mmm (No. 139)
Unique sites:
Ac 0.000 0.000 0.170 x4
Ac 0.000 0.500 0.000 x4
Al 0.000 0.000 0.368 x4
N 0.000 0.000 0.000 x2

Computed, not measured: a geometry-optimized Ac2AlN structure at the PBE-GGA level of DFT.

Summary:
D(E_F) (states/eV per atom): 0.87
Mass density (g cm⁻³): 6.9
Electronic total energy (eV per atom): -5.2707
Size of the total moment (μB per atom): 0.000
Uncorrected formation energy (eV per formula unit): -0.80

Lattice parameters (Å, degrees): 3.7443 3.7443 29.4592 90.00 90.00 120.00
Space group R-3m (No. 166, hexagonal axes)
Unique sites:
Ac 0.0000 0.0000 0.1149 x6
Al 0.0000 0.0000 0.0000 x3
N 0.0000 0.0000 0.5000 x3

Computed, not measured: a geometry-optimized AcAlN2 structure at the PBE-GGA level of DFT.

Summary:
Mass density (g cm⁻³): 5.5
Electronic total energy (eV per atom): -6.8857
Size of the total moment (μB per atom): 0.000
Uncorrected formation energy (eV per formula unit): -3.04

Lattice parameters (Å, degrees): 4.0647 4.0647 17.8833 90.00 90.00 120.00
Space group R-3m (No. 166, hexagonal axes)
Unique sites:
Ac 0.0000 0.0000 0.0000 x3
Al 0.0000 0.0000 0.5000 x3
N 0.0000 0.0000 0.4025 x6

Computed, not measured: a geometry-optimized AcNd12Al4N3 structure at the PBE-GGA level of DFT.

Summary:
D(E_F) (states/eV per atom): 0.67
Mass density (g cm⁻³): 6.4
Electronic total energy (eV per atom): -5.3105
Size of the total moment (μB per atom): 0.000
Uncorrected formation energy (eV per formula unit): -4.94

Lattice parameters (Å, degrees): 10.307 10.307 10.307 90.00 90.00 90.00
Space group Im-3m (No. 229)
Unique sites:
Ac 0.000 0.000 0.000 x2
Nd 0.000 0.000 0.280 x12
Nd 0.000 0.250 0.500 x12
Al 0.250 0.250 0.250 x8
N 0.000 0.000 0.500 x6

Computed, not measured: a geometry-optimized AcAlNiN structure at the PBE-GGA level of DFT.

Summary:
D(E_F) (states/eV per atom): 0.49
Mass density (g cm⁻³): 7.8
Electronic total energy (eV per atom): -6.2955
Size of the total moment (μB per atom): 0.000
Uncorrected formation energy (eV per formula unit): -3.22

Lattice parameters (Å, degrees): 3.970 3.970 8.874 90.00 90.00 90.00
Space group P4/nmm (No. 129, origin choice 2)
Unique sites:
Ac 0.250 0.250 0.155 x2
Al 0.250 0.250 0.651 x2
Ni 0.250 0.750 0.500 x2
N 0.250 0.250 0.864 x2

Computed, not measured: a geometry-optimized AcAl2PN2 structure at the PBE-GGA level of DFT.

Summary:
D(E_F) (states/eV per atom): 0.00
Mass density (g cm⁻³): 5.0
Electronic total energy (eV per atom): -6.5271
Size of the total moment (μB per atom): 0.000
Uncorrected formation energy (eV per formula unit): -5.51

Lattice parameters (Å, degrees): 6.171 5.202 7.302 90.00 107.39 90.00
Space group P2_1/m (No. 11)
Unique sites:
Ac 0.170 0.250 0.343 x2
Al 0.374 0.002 0.795 x4
P 0.279 0.750 0.049 x2
N 0.165 0.250 0.680 x2
N 0.430 0.750 0.640 x2

Computed, not measured: a geometry-optimized AcPaAlN4 structure at the PBE-GGA level of DFT.

Summary:
D(E_F) (states/eV per atom): 0.76
Mass density (g cm⁻³): 8.2
Electronic total energy (eV per atom): -8.3108
Size of the total moment (μB per atom): 0.000
Uncorrected formation energy (eV per formula unit): -7.53

Lattice parameters (Å, degrees): 5.729 5.583 7.185 90.00 108.00 90.00
Space group P2_1/m (No. 11)
Unique sites:
Ac 0.214 0.250 0.429 x2
Pa 0.288 0.250 0.950 x2
Al 0.248 0.750 0.175 x2
N 0.023 0.750 0.923 x2
N 0.049 0.750 0.338 x2
N 0.478 0.504 0.199 x4

Computed, not measured: a geometry-optimized Ac2PaAlN5 structure at the PBE-GGA level of DFT.

Summary:
D(E_F) (states/eV per atom): 0.78
Mass density (g cm⁻³): 8.9
Electronic total energy (eV per atom): -8.1764
Size of the total moment (μB per atom): 0.000
Uncorrected formation energy (eV per formula unit): -10.51

Lattice parameters (Å, degrees): 3.596 14.358 11.307 90.00 90.00 90.00
Space group Cmc2_1 (No. 36)
Unique sites:
Ac 0.000 0.099 0.000 x4
Ac 0.000 0.135 0.649 x4
Pa 0.000 0.199 0.350 x4
Al 0.000 0.456 0.754 x4
N 0.000 0.038 0.326 x4
N 0.000 0.285 0.975 x4
N 0.000 0.320 0.723 x4
N 0.000 0.349 0.325 x4
N 0.000 0.492 0.103 x4

Computed, not measured: a geometry-optimized AcAlPtN structure at the PBE-GGA level of DFT.

Summary:
D(E_F) (states/eV per atom): 0.36
Mass density (g cm⁻³): 10.3
Electronic total energy (eV per atom): -6.7030
Size of the total moment (μB per atom): 0.000
Uncorrected formation energy (eV per formula unit): -4.59

Lattice parameters (Å, degrees): 4.087 4.087 8.961 90.00 90.00 90.00
Space group P4/nmm (No. 129, origin choice 2)
Unique sites:
Ac 0.250 0.250 0.152 x2
Al 0.250 0.250 0.661 x2
Pt 0.250 0.750 0.500 x2
N 0.250 0.250 0.870 x2

Computed, not measured: a geometry-optimized Ac2PuAlN5 structure at the PBE-GGA level of DFT.

Summary:
D(E_F) (states/eV per atom): 0.32
Mass density (g cm⁻³): 9.4
Electronic total energy (eV per atom): -8.6201
Size of the total moment (μB per atom): 0.222
Uncorrected formation energy (eV per formula unit): -9.66

Lattice parameters (Å, degrees): 3.536 14.514 10.997 90.00 90.00 90.00
Space group Cmc2_1 (No. 36)
Unique sites:
Ac 0.000 0.106 0.000 x4
Ac 0.000 0.131 0.631 x4
Pu 0.000 0.203 0.335 x4
Al 0.000 0.448 0.754 x4
N 0.000 0.053 0.333 x4
N 0.000 0.286 0.959 x4
N 0.000 0.315 0.707 x4
N 0.000 0.341 0.322 x4
N 0.000 0.495 0.104 x4